(1)
# Zr3InH (PBE, optimized geometry)
# magnetic moment: 0.00 μB/f.u.
# VASP energy: -260.9 eV for the cell shown
data_Zr3InH
_space_group_name_H-M_alt 'C 1 2/c 1'
_space_group_IT_number 15
_space_group_name_Hall '-C 2yc'
_cell_length_a 12.263
_cell_length_b 10.952
_cell_length_c 6.138
_cell_angle_alpha 90.00
_cell_angle_beta 112.27
_cell_angle_gamma 90.00
loop_
_atom_site_label
_atom_site_type_symbol
_atom_site_fract_x
_atom_site_fract_y
_atom_site_fract_z
_atom_site_occupancy
Zr1 Zr 0.124 0.055 0.185 1
Zr2 Zr 0.134 0.465 0.924 1
Zr3 Zr 0.228 0.202 0.697 1
In1 In 0.000 0.213 0.750 1
In2 In 0.000 0.298 0.250 1
H1 H 0.201 0.397 0.689 1

---

(2)
# ZrInH2 (PBE, optimized geometry)
# magnetic moment: 0.00 μB/f.u.
# polymorph energy (0 for the lowest one): 0 meV per atom
# VASP energy: -57.5 eV for the cell shown
data_ZrInH2
_space_group_name_H-M_alt 'R 3 m'
_space_group_IT_number 160
_space_group_name_Hall 'R 3 -2"'
_cell_length_a 3.3928
_cell_length_b 3.3928
_cell_length_c 16.8420
_cell_angle_alpha 90.00
_cell_angle_beta 90.00
_cell_angle_gamma 120.00
loop_
_atom_site_label
_atom_site_type_symbol
_atom_site_fract_x
_atom_site_fract_y
_atom_site_fract_z
_atom_site_occupancy
Zr1 Zr 0.0000 0.0000 0.0000 1
In1 In 0.0000 0.0000 0.8186 1
H1 H 0.0000 0.0000 0.3338 1
H2 H 0.0000 0.0000 0.6254 1

---

(3)
# Zr4In2H (PBE, optimized geometry)
# magnetic moment: 0.00 μB/f.u.
# VASP energy: -89.3 eV for the cell shown
data_Zr4In2H
_space_group_name_H-M_alt 'I 4/m m m'
_space_group_IT_number 139
_space_group_name_Hall '-I 4 2'
_cell_length_a 4.179
_cell_length_b 4.179
_cell_length_c 16.260
_cell_angle_alpha 90.00
_cell_angle_beta 90.00
_cell_angle_gamma 90.00
loop_
_atom_site_label
_atom_site_type_symbol
_atom_site_fract_x
_atom_site_fract_y
_atom_site_fract_z
_atom_site_occupancy
Zr1 Zr 0.000 0.000 0.179 1
Zr2 Zr 0.000 0.500 0.000 1
In1 In 0.000 0.000 0.361 1
H1 H 0.000 0.000 0.000 1

---

(4)
# ZrIn2H2 (PBE, optimized geometry)
# magnetic moment: 0.00 μB/f.u.
# polymorph energy (0 for the lowest one): 205 meV per atom
# VASP energy: -39.2 eV for the cell shown
data_ZrIn2H2
_space_group_name_H-M_alt 'I 4/m m m'
_space_group_IT_number 139
_space_group_name_Hall '-I 4 2'
_cell_length_a 4.162
_cell_length_b 4.162
_cell_length_c 9.667
_cell_angle_alpha 90.00
_cell_angle_beta 90.00
_cell_angle_gamma 90.00
loop_
_atom_site_label
_atom_site_type_symbol
_atom_site_fract_x
_atom_site_fract_y
_atom_site_fract_z
_atom_site_occupancy
Zr1 Zr 0.000 0.000 0.000 1
In1 In 0.000 0.500 0.250 1
H1 H 0.000 0.000 0.459 1

---

(5)
# Zr3InH (PBE, optimized geometry)
# magnetic moment: 0.00 μB/f.u.
# VASP energy: -66.4 eV for the cell shown
data_Zr3InH
_space_group_name_H-M_alt 'P m m a'
_space_group_IT_number 51
_space_group_name_Hall '-P 2a 2a'
_cell_length_a 4.504
_cell_length_b 4.301
_cell_length_c 9.561
_cell_angle_alpha 90.00
_cell_angle_beta 90.00
_cell_angle_gamma 90.00
loop_
_atom_site_label
_atom_site_type_symbol
_atom_site_fract_x
_atom_site_fract_y
_atom_site_fract_z
_atom_site_occupancy
Zr1 Zr 0.250 0.000 0.119 1
Zr2 Zr 0.250 0.000 0.648 1
Zr3 Zr 0.250 0.500 0.374 1
In1 In 0.250 0.500 0.874 1
H1 H 0.250 0.000 0.338 1

---

(6)
# Zr2InH (PBE, optimized geometry)
# magnetic moment: 0.00 μB/f.u.
# polymorph energy (0 for the lowest one): 624 meV per atom
# VASP energy: -88.6 eV for the cell shown
data_Zr2InH
_space_group_name_H-M_alt 'F m -3 m'
_space_group_IT_number 225
_space_group_name_Hall '-F 4 2 3'
_cell_length_a 6.739
_cell_length_b 6.739
_cell_length_c 6.739
_cell_angle_alpha 90.00
_cell_angle_beta 90.00
_cell_angle_gamma 90.00
loop_
_atom_site_label
_atom_site_type_symbol
_atom_site_fract_x
_atom_site_fract_y
_atom_site_fract_z
_atom_site_occupancy
Zr1 Zr 0.250 0.250 0.250 1
In1 In 0.000 0.000 0.000 1
H1 H 0.000 0.000 0.500 1

---

(7)
# Zr3InH (PBE, optimized geometry)
# magnetic moment: 0.00 μB/f.u.
# VASP energy: -132.8 eV for the cell shown
data_Zr3InH
_space_group_name_H-M_alt 'C 1 m 1'
_space_group_IT_number 8
_space_group_name_Hall 'C -2y'
_cell_length_a 11.042
_cell_length_b 6.368
_cell_length_c 5.492
_cell_angle_alpha 90.00
_cell_angle_beta 107.89
_cell_angle_gamma 90.00
loop_
_atom_site_label
_atom_site_type_symbol
_atom_site_fract_x
_atom_site_fract_y
_atom_site_fract_z
_atom_site_occupancy
Zr1 Zr 0.000 0.000 0.000 1
Zr2 Zr 0.005 0.255 0.500 1
Zr3 Zr 0.250 0.250 0.968 1
Zr4 Zr 0.255 0.500 0.471 1
In1 In 0.006 0.500 0.999 1
In2 In 0.252 0.000 0.460 1
H1 H 0.115 0.000 0.771 1
H2 H 0.372 0.500 0.222 1

---

(8)
# ZrInH3 (PBE, optimized geometry)
# magnetic moment: 0.00 μB/f.u.
# polymorph energy (0 for the lowest one): 656 meV per atom
# VASP energy: -18.3 eV for the cell shown
data_ZrInH3
_space_group_name_H-M_alt 'P m -3 m'
_space_group_IT_number 221
_space_group_name_Hall '-P 4 2 3'
_cell_length_a 3.847
_cell_length_b 3.847
_cell_length_c 3.847
_cell_angle_alpha 90.00
_cell_angle_beta 90.00
_cell_angle_gamma 90.00
loop_
_atom_site_label
_atom_site_type_symbol
_atom_site_fract_x
_atom_site_fract_y
_atom_site_fract_z
_atom_site_occupancy
Zr1 Zr 0.000 0.000 0.000 1
In1 In 0.500 0.500 0.500 1
H1 H 0.000 0.500 0.500 1

---

(9)
# Zr3InH (PBE, optimized geometry)
# magnetic moment: 0.00 μB/f.u.
# VASP energy: -132.8 eV for the cell shown
data_Zr3InH
_space_group_name_H-M_alt 'C 1 2/m 1'
_space_group_IT_number 12
_space_group_name_Hall '-C 2y'
_cell_length_a 19.018
_cell_length_b 4.363
_cell_length_c 4.561
_cell_angle_alpha 90.00
_cell_angle_beta 103.81
_cell_angle_gamma 90.00
loop_
_atom_site_label
_atom_site_type_symbol
_atom_site_fract_x
_atom_site_fract_y
_atom_site_fract_z
_atom_site_occupancy
Zr1 Zr 0.060 0.000 0.311 1
Zr2 Zr 0.182 0.000 0.933 1
Zr3 Zr 0.188 0.500 0.439 1
In1 In 0.064 0.500 0.816 1
H1 H 0.182 0.000 0.433 1

---

(10)
# ZrInH (PBE, optimized geometry)
# magnetic moment: 0.00 μB/f.u.
# polymorph energy (0 for the lowest one): 218 meV per atom
# VASP energy: -61.0 eV for the cell shown
data_ZrInH
_space_group_name_H-M_alt 'C 1 c 1'
_space_group_IT_number 9
_space_group_name_Hall 'C -2yc'
_cell_length_a 6.165
_cell_length_b 6.164
_cell_length_c 5.886
_cell_angle_alpha 90.00
_cell_angle_beta 121.51
_cell_angle_gamma 90.00
loop_
_atom_site_label
_atom_site_type_symbol
_atom_site_fract_x
_atom_site_fract_y
_atom_site_fract_z
_atom_site_occupancy
Zr1 Zr 0.000 0.123 0.000 1
In1 In 0.035 0.376 0.571 1
H1 H 0.197 0.122 0.404 1

---

(11)
# Zr3InH (PBE, optimized geometry)
# magnetic moment: 0.00 μB/f.u.
# VASP energy: -132.6 eV for the cell shown
data_Zr3InH
_space_group_name_H-M_alt 'I m m 2'
_space_group_IT_number 44
_space_group_name_Hall 'I 2 -2'
_cell_length_a 4.206
_cell_length_b 4.565
_cell_length_c 19.202
_cell_angle_alpha 90.00
_cell_angle_beta 90.00
_cell_angle_gamma 90.00
loop_
_atom_site_label
_atom_site_type_symbol
_atom_site_fract_x
_atom_site_fract_y
_atom_site_fract_z
_atom_site_occupancy
Zr1 Zr 0.000 0.000 0.000 1
Zr2 Zr 0.000 0.000 0.244 1
Zr3 Zr 0.000 0.000 0.496 1
Zr4 Zr 0.000 0.500 0.125 1
Zr5 Zr 0.000 0.500 0.369 1
Zr6 Zr 0.000 0.500 0.874 1
In1 In 0.000 0.000 0.748 1
In2 In 0.000 0.500 0.618 1
H1 H 0.000 0.000 0.891 1
H2 H 0.000 0.500 0.008 1

---

(12)
# Zr3InH (PBE, optimized geometry)
# magnetic moment: 0.00 μB/f.u.
# VASP energy: -127.1 eV for the cell shown
data_Zr3InH
_space_group_name_H-M_alt 'I m m a'
_space_group_IT_number 74
_space_group_name_Hall '-I 2b 2'
_cell_length_a 5.640
_cell_length_b 8.723
_cell_length_c 8.001
_cell_angle_alpha 90.00
_cell_angle_beta 90.00
_cell_angle_gamma 90.00
loop_
_atom_site_label
_atom_site_type_symbol
_atom_site_fract_x
_atom_site_fract_y
_atom_site_fract_z
_atom_site_occupancy
Zr1 Zr 0.000 0.092 0.140 1
Zr2 Zr 0.250 0.250 0.750 1
In1 In 0.000 0.000 0.500 1
H1 H 0.000 0.250 0.949 1

---

Question: VASP energy of number 4 (ZrIn2H2)?
Answer: -39.2 eV for the cell shown